## NaLiGeS2 (PBE)

Data for NaLiGeS2 after structural relaxation.

Cell and atoms, written as CIF:
```
data_NaLiGeS2
_chemical_formula_sum 'Na2 Li2 Ge2 S4'
_space_group_name_H-M_alt 'P 1 2/c 1'
_space_group_IT_number 13
_space_group_name_Hall '-P 2yc'
_cell_length_a 7.0896
_cell_length_b 6.4872
_cell_length_c 5.0339
_cell_angle_alpha 90.00
_cell_angle_beta 110.48
_cell_angle_gamma 90.00
loop_
_atom_site_label
_atom_site_type_symbol
_atom_site_fract_x
_atom_site_fract_y
_atom_site_fract_z
Na1 Na 0.0000 0.1949 0.2500
Li1 Li 0.5000 0.0003 0.2500
Ge1 Ge 0.5000 0.5000 0.0000
S1 S 0.2643 0.2166 0.8832
```

Results
For the energy relative to the elements, uncorrected, the calculation gives -0.56 eV per atom. The total magnetization is 0.000 μB per cell. As for the crystal system: monoclinic. As for the raw total energy: -3.78 eV/atom.

---

## Rb2TeAuBr6 (PBE)

Data for Rb2TeAuBr6 after structural relaxation.

Cell and atoms, written as CIF:
```
data_Rb2TeAuBr6
_chemical_formula_sum 'Rb4 Te2 Au2 Br12'
_space_group_name_H-M_alt 'I 4/m m m'
_space_group_IT_number 139
_space_group_name_Hall '-I 4 2'
_cell_length_a 7.8963
_cell_length_b 7.8963
_cell_length_c 11.5545
_cell_angle_alpha 90.00
_cell_angle_beta 90.00
_cell_angle_gamma 90.00
loop_
_atom_site_label
_atom_site_type_symbol
_atom_site_fract_x
_atom_site_fract_y
_atom_site_fract_z
Rb1 Rb 0.0000 0.5000 0.2500
Te1 Te 0.0000 0.0000 0.0000
Au1 Au 0.0000 0.0000 0.5000
Br1 Br 0.0000 0.0000 0.2400
Br2 Br 0.2409 0.2409 0.5000
```

Results
For the energy relative to the elements, uncorrected, the calculation gives -0.83 eV per atom. The total magnetization is 0.000 μB per cell. As for the crystal system: tetragonal. As for the raw total energy: -2.67 eV/atom.

---

## Zr2FeHg (PBE)

Data for Zr2FeHg after structural relaxation.

Cell and atoms, written as CIF:
```
data_Zr2FeHg
_chemical_formula_sum 'Zr4 Fe2 Hg2'
_space_group_name_H-M_alt 'C 1 m 1'
_space_group_IT_number 8
_space_group_name_Hall 'C -2y'
_cell_length_a 11.0917
_cell_length_b 3.2722
_cell_length_c 4.7474
_cell_angle_alpha 90.00
_cell_angle_beta 115.34
_cell_angle_gamma 90.00
loop_
_atom_site_label
_atom_site_type_symbol
_atom_site_fract_x
_atom_site_fract_y
_atom_site_fract_z
Zr1 Zr 0.0000 0.0000 0.0000
Zr2 Zr 0.2099 0.0000 0.7097
Fe1 Fe 0.2021 0.5000 0.2004
Hg1 Hg 0.4234 0.0000 0.4235
```

Results
The total magnetization is 0.833 μB per cell. Its formation energy is 10 meV/atom. As for the crystal system: monoclinic. As for the raw total energy: -6.45 eV/atom.

---

## Tb5Ho2Er4 (PBE)

Data for Tb5Ho2Er4 after structural relaxation.

Cell and atoms, written as CIF:
```
data_Tb5Ho2Er4
_chemical_formula_sum 'Tb10 Ho4 Er8'
_space_group_name_H-M_alt 'I m m m'
_space_group_IT_number 71
_space_group_name_Hall '-I 2 2'
_cell_length_a 3.4702
_cell_length_b 8.9420
_cell_length_c 23.0702
_cell_angle_alpha 90.00
_cell_angle_beta 90.00
_cell_angle_gamma 90.00
loop_
_atom_site_label
_atom_site_type_symbol
_atom_site_fract_x
_atom_site_fract_y
_atom_site_fract_z
Tb1 Tb 0.0000 0.0000 0.0000
Tb2 Tb 0.0000 0.3013 0.3552
Ho1 Ho 0.0000 0.5000 0.2311
Er1 Er 0.0000 0.1888 0.5000
Er2 Er 0.0000 0.5000 0.0970
```

Results
The total magnetization is 0.000 μB per cell. Its formation energy is 223 meV/atom. The energy above the lowest structure with this stoichiometry comes out at 83.8 meV per atom. As for the crystal system: orthorhombic. As for the raw total energy: -4.37 eV/atom.

---

## Sm5Ni2 (PBE)

Data for Sm5Ni2 after structural relaxation.

Cell and atoms, written as CIF:
```
data_Sm5Ni2
_chemical_formula_sum 'Sm20 Ni8'
_space_group_name_H-M_alt 'C 1 2/c 1'
_space_group_IT_number 15
_space_group_name_Hall '-C 2yc'
_cell_length_a 16.8073
_cell_length_b 6.4669
_cell_length_c 6.9680
_cell_angle_alpha 90.00
_cell_angle_beta 96.53
_cell_angle_gamma 90.00
loop_
_atom_site_label
_atom_site_type_symbol
_atom_site_fract_x
_atom_site_fract_y
_atom_site_fract_z
Sm1 Sm 0.0000 0.0662 0.2500
Sm2 Sm 0.0958 0.3943 0.9237
Sm3 Sm 0.2151 0.0690 0.3135
Ni1 Ni 0.1096 0.1979 0.5704
```

Results
The total magnetization is 0.000 μB per cell. Its formation energy is -215 meV/atom. As for the crystal system: monoclinic. As for the raw total energy: -5.24 eV/atom.

---

## Na3AcEr2Te6 (PBE)

Data for Na3AcEr2Te6 after structural relaxation.

Cell and atoms, written as CIF:
```
data_Na3AcEr2Te6
_chemical_formula_sum 'Na6 Ac2 Er4 Te12'
_space_group_name_H-M_alt 'C 1 2/m 1'
_space_group_IT_number 12
_space_group_name_Hall '-C 2y'
_cell_length_a 7.8424
_cell_length_b 13.5938
_cell_length_c 8.0162
_cell_angle_alpha 90.00
_cell_angle_beta 109.24
_cell_angle_gamma 90.00
loop_
_atom_site_label
_atom_site_type_symbol
_atom_site_fract_x
_atom_site_fract_y
_atom_site_fract_z
Na1 Na 0.0000 0.0000 0.0000
Na2 Na 0.0000 0.3387 0.0000
Ac1 Ac 0.0000 0.5000 0.5000
Er1 Er 0.0000 0.1677 0.5000
Te1 Te 0.2249 0.0000 0.7355
Te2 Te 0.2438 0.1768 0.2645
```

Results
For the energy relative to the elements, uncorrected, the calculation gives -1.32 eV per atom. The total magnetization is 0.000 μB per cell. As for the crystal system: monoclinic. As for the raw total energy: -4.33 eV/atom.

---

## PmIn2Hg5 (PBE)

Data for PmIn2Hg5 after structural relaxation.

Cell and atoms, written as CIF:
```
data_PmIn2Hg5
_chemical_formula_sum 'Pm2 In4 Hg10'
_space_group_name_H-M_alt 'I 4/m m m'
_space_group_IT_number 139
_space_group_name_Hall '-I 4 2'
_cell_length_a 4.8088
_cell_length_b 4.8088
_cell_length_c 17.6610
_cell_angle_alpha 90.00
_cell_angle_beta 90.00
_cell_angle_gamma 90.00
loop_
_atom_site_label
_atom_site_type_symbol
_atom_site_fract_x
_atom_site_fract_y
_atom_site_fract_z
Pm1 Pm 0.0000 0.0000 0.0000
In1 In 0.0000 0.0000 0.2433
Hg1 Hg 0.0000 0.0000 0.5000
Hg2 Hg 0.0000 0.5000 0.1264
```

Results
The total magnetization is 0.000 μB per cell. Its formation energy is -208 meV/atom. The energy above the lowest structure with this stoichiometry comes out at 0.0 meV per atom. As for the crystal system: tetragonal. As for the raw total energy: -1.68 eV/atom.

---

## CaPuCdPd (PBE)

Data for CaPuCdPd after structural relaxation.

Cell and atoms, written as CIF:
```
data_CaPuCdPd
_chemical_formula_sum 'Ca4 Pu4 Cd4 Pd4'
_space_group_name_H-M_alt 'F -4 3 m'
_space_group_IT_number 216
_space_group_name_Hall 'F -4 2 3'
_cell_length_a 7.3498
_cell_length_b 7.3498
_cell_length_c 7.3498
_cell_angle_alpha 90.00
_cell_angle_beta 90.00
_cell_angle_gamma 90.00
loop_
_atom_site_label
_atom_site_type_symbol
_atom_site_fract_x
_atom_site_fract_y
_atom_site_fract_z
Ca1 Ca 0.0000 0.0000 0.0000
Pu1 Pu 0.0000 0.0000 0.5000
Cd1 Cd 0.2500 0.2500 0.2500
Pd1 Pd 0.2500 0.2500 0.7500
```

Results
The total magnetization is 23.879 μB per cell. Its formation energy is -236 meV/atom. As for the crystal system: cubic. As for the raw total energy: -5.85 eV/atom.

---

## HfZrMoS2 (PBE)

Data for HfZrMoS2 after structural relaxation.

Cell and atoms, written as CIF:
```
data_HfZrMoS2
_chemical_formula_sum 'Hf1 Zr1 Mo1 S2'
_space_group_name_H-M_alt 'P 4/m m m'
_space_group_IT_number 123
_space_group_name_Hall '-P 4 2'
_cell_length_a 4.7751
_cell_length_b 4.7751
_cell_length_c 5.5593
_cell_angle_alpha 90.00
_cell_angle_beta 90.00
_cell_angle_gamma 90.00
loop_
_atom_site_label
_atom_site_type_symbol
_atom_site_fract_x
_atom_site_fract_y
_atom_site_fract_z
Hf1 Hf 0.0000 0.0000 0.0000
Zr1 Zr 0.0000 0.0000 0.5000
Mo1 Mo 0.5000 0.5000 0.5000
S1 S 0.0000 0.5000 0.0000
```

Results
For the energy relative to the elements, uncorrected, the calculation gives 0.79 eV per atom. The total magnetization is 2.934 μB per cell. As for the crystal system: tetragonal. As for the raw total energy: -6.72 eV/atom.

---

## LaSbOs4 (PBE)

Data for LaSbOs4 after structural relaxation.

Cell and atoms, written as CIF:
```
data_LaSbOs4
_chemical_formula_sum 'La4 Sb4 Os16'
_space_group_name_H-M_alt 'F -4 3 m'
_space_group_IT_number 216
_space_group_name_Hall 'F -4 2 3'
_cell_length_a 7.6448
_cell_length_b 7.6448
_cell_length_c 7.6448
_cell_angle_alpha 90.00
_cell_angle_beta 90.00
_cell_angle_gamma 90.00
loop_
_atom_site_label
_atom_site_type_symbol
_atom_site_fract_x
_atom_site_fract_y
_atom_site_fract_z
La1 La 0.0000 0.0000 0.0000
Sb1 Sb 0.2500 0.2500 0.2500
Os1 Os 0.1242 0.1242 0.6242
```

Results
For the energy relative to the elements, uncorrected, the calculation gives 0.36 eV per atom. The total magnetization is 0.015 μB per cell. As for the crystal system: cubic. As for the raw total energy: -8.63 eV/atom.

---

## Y2Ga2Fe2C (PBE)

Data for Y2Ga2Fe2C after structural relaxation.

Cell and atoms, written as CIF:
```
data_Y2Ga2Fe2C
_chemical_formula_sum 'Y4 Ga4 Fe4 C2'
_space_group_name_H-M_alt 'C 1 2/m 1'
_space_group_IT_number 12
_space_group_name_Hall '-C 2y'
_cell_length_a 10.8162
_cell_length_b 3.9693
_cell_length_c 6.9831
_cell_angle_alpha 90.00
_cell_angle_beta 128.96
_cell_angle_gamma 90.00
loop_
_atom_site_label
_atom_site_type_symbol
_atom_site_fract_x
_atom_site_fract_y
_atom_site_fract_z
Y1 Y 0.0573 0.0000 0.2857
Ga1 Ga 0.1605 0.5000 0.7104
Fe1 Fe 0.1935 0.5000 0.0878
C1 C 0.0000 0.5000 0.0000
```

Results
The total magnetization is 0.001 μB per cell. Its formation energy is -455 meV/atom. As for the crystal system: monoclinic. As for the raw total energy: -6.90 eV/atom.

---

## BaLaMgSn2 (PBE)

Data for BaLaMgSn2 after structural relaxation.

Cell and atoms, written as CIF:
```
data_BaLaMgSn2
_chemical_formula_sum 'Ba1 La1 Mg1 Sn2'
_space_group_name_H-M_alt 'P 4/m m m'
_space_group_IT_number 123
_space_group_name_Hall '-P 4 2'
_cell_length_a 5.4954
_cell_length_b 5.4954
_cell_length_c 5.7234
_cell_angle_alpha 90.00
_cell_angle_beta 90.00
_cell_angle_gamma 90.00
loop_
_atom_site_label
_atom_site_type_symbol
_atom_site_fract_x
_atom_site_fract_y
_atom_site_fract_z
Ba1 Ba 0.0000 0.0000 0.0000
La1 La 0.5000 0.5000 0.0000
Mg1 Mg 0.0000 0.0000 0.5000
Sn1 Sn 0.0000 0.5000 0.5000
```

Results
The total magnetization is 0.746 μB per cell. Its formation energy is 92 meV/atom. The energy above the lowest structure with this stoichiometry comes out at 0.0 meV per atom. As for the crystal system: tetragonal. As for the raw total energy: -3.20 eV/atom.